No. 1
First-principles (PBE-GGA) data for HfTaCo2 after structural relaxation, as listed in Alexandria via LeMat-Bulk.

Computed properties:
Formation energy from the elements ... 0.443 eV per atom
Size of the total moment ... 1.197 μB per formula unit
SG ... Pmma (51)
Crystal system ... orthorhombic

Cell lengths 4.7885, 4.9492, 12.0446 Å; angles 90.00, 90.00, 90.00 degrees
Last column: nearest neighbours and their distance in Å.
Element x y z (fractional)
Hf 0.2500 0.0000 0.0706  4 Co 2.88, 2 Hf 2.94, 2 Ta 2.95
Hf 0.2500 0.5000 0.4012  6 Co 2.66-2.87
Hf 0.7500 0.0000 0.9294  4 Co 2.88, 2 Hf 2.94, 2 Ta 2.95
Hf 0.7500 0.5000 0.5988  6 Co 2.66-2.87
Ta 0.2500 0.0000 0.7860  2 Co 2.41, 2 Ta 2.51
Ta 0.2500 0.5000 0.8216  4 Co 2.46-2.68, 2 Ta 2.51
Ta 0.7500 0.0000 0.2140  2 Co 2.41, 2 Ta 2.51
Ta 0.7500 0.5000 0.1784  4 Co 2.46-2.68, 2 Ta 2.51
Co 0.0000 0.0000 0.5000  6 Co 2.31-2.39
Co 0.0000 0.5000 0.0000  2 Co 2.39, 2 Ta 2.46
Co 0.2500 0.2714 0.6198  3 Co 2.26-2.31, 1 Ta 2.41
Co 0.2500 0.7286 0.6198  3 Co 2.26-2.31, 1 Ta 2.41
Co 0.5000 0.0000 0.5000  6 Co 2.31-2.39
Co 0.5000 0.5000 0.0000  2 Co 2.39, 2 Ta 2.46
Co 0.7500 0.2714 0.3802  3 Co 2.26-2.31, 1 Ta 2.41
Co 0.7500 0.7286 0.3802  3 Co 2.26-2.31, 1 Ta 2.41

No. 2
First-principles (PBE-GGA) data for Hf2TaCo2 after structural relaxation, as listed in Alexandria via LeMat-Bulk.

Computed properties:
Formation energy from the elements ... 0.203 eV per atom
Size of the total moment ... 0.000 μB per formula unit
SG ... I4/mmm (139)
Crystal system ... tetragonal

Cell lengths 3.2118, 3.2118, 16.8920 Å; angles 90.00, 90.00, 90.00 degrees
Last column: nearest neighbours and their distance in Å.
Element x y z (fractional)
Hf 0.0000 0.0000 0.1215  4 Co 2.70
Hf 0.0000 0.0000 0.8785  4 Co 2.70
Hf 0.5000 0.5000 0.3785  4 Co 2.70
Hf 0.5000 0.5000 0.6215  4 Co 2.70
Ta 0.0000 0.0000 0.5000  8 Hf 3.06, 4 Ta 3.21
Ta 0.5000 0.5000 0.0000  8 Hf 3.06, 4 Ta 3.21
Co 0.0000 0.5000 0.2500  4 Co 2.27
Co 0.0000 0.5000 0.7500  4 Co 2.27
Co 0.5000 0.0000 0.2500  4 Co 2.27
Co 0.5000 0.0000 0.7500  4 Co 2.27

No. 3
First-principles (PBE-GGA) data for HfTaCo3 after structural relaxation, as listed in Alexandria via LeMat-Bulk.

Computed properties:
Formation energy from the elements ... 0.912 eV per atom
Size of the total moment ... 0.000 μB per formula unit
SG ... Pm-3m (221)
Crystal system ... cubic

Cell lengths 4.4147, 4.4147, 4.4147 Å; angles 90.00, 90.00, 90.00 degrees
Last column: nearest neighbours and their distance in Å.
Element x y z (fractional)
Hf 0.0000 0.0000 0.0000  12 Co 3.12
Ta 0.5000 0.5000 0.5000  6 Co 2.21
Co 0.0000 0.5000 0.5000  2 Ta 2.21
Co 0.5000 0.0000 0.5000  2 Ta 2.21
Co 0.5000 0.5000 0.0000  2 Ta 2.21

No. 4
First-principles (PBE-GGA) data for HfTa2Co2 after structural relaxation, as listed in Alexandria via LeMat-Bulk.

Computed properties:
Formation energy from the elements ... -0.147 eV per atom
Size of the total moment ... 0.000 μB per formula unit
SG ... P4/mbm (127)
Crystal system ... tetragonal

Cell lengths 7.1217, 7.1217, 3.1034 Å; angles 90.00, 90.00, 90.00 degrees
Last column: nearest neighbours and their distance in Å.
Element x y z (fractional)
Hf 0.0000 0.0000 0.0000  4 Co 2.81, 8 Ta 3.07, 2 Hf 3.10
Hf 0.5000 0.5000 0.0000  4 Co 2.81, 8 Ta 3.07, 2 Hf 3.10
Ta 0.1680 0.3320 0.5000  6 Co 2.59-2.62
Ta 0.3320 0.8320 0.5000  6 Co 2.59-2.62
Ta 0.6680 0.1680 0.5000  6 Co 2.59-2.62
Ta 0.8320 0.6680 0.5000  6 Co 2.59-2.62
Co 0.1260 0.6260 0.0000  1 Co 2.54, 6 Ta 2.59-2.62, 2 Hf 2.81
Co 0.3740 0.1260 0.0000  1 Co 2.54, 6 Ta 2.59-2.62, 2 Hf 2.81
Co 0.6260 0.8740 0.0000  1 Co 2.54, 6 Ta 2.59-2.62, 2 Hf 2.81
Co 0.8740 0.3740 0.0000  1 Co 2.54, 6 Ta 2.59-2.62, 2 Hf 2.81

No. 5
First-principles (PBE-GGA) data for HfTa2Co2 after structural relaxation, as listed in Alexandria via LeMat-Bulk.

Computed properties:
Formation energy from the elements ... -0.061 eV per atom
Size of the total moment ... 0.000 μB per formula unit
SG ... I4/mmm (139)
Crystal system ... tetragonal

Cell lengths 4.1764, 4.1764, 9.7235 Å; angles 90.00, 90.00, 90.00 degrees
Last column: nearest neighbours and their distance in Å.
Element x y z (fractional)
Hf 0.0000 0.0000 0.0000  8 Co 3.16, 8 Ta 3.20
Hf 0.5000 0.5000 0.5000  8 Co 3.16, 8 Ta 3.20
Ta 0.0000 0.5000 0.2500  4 Co 2.46
Ta 0.0000 0.5000 0.7500  4 Co 2.46
Ta 0.5000 0.0000 0.2500  4 Co 2.46
Ta 0.5000 0.0000 0.7500  4 Co 2.46
Co 0.0000 0.0000 0.3839  1 Co 2.26, 4 Ta 2.46
Co 0.0000 0.0000 0.6161  1 Co 2.26, 4 Ta 2.46
Co 0.5000 0.5000 0.1161  1 Co 2.26, 4 Ta 2.46
Co 0.5000 0.5000 0.8839  1 Co 2.26, 4 Ta 2.46

No. 6
First-principles (PBE-GGA) data for Hf2TaCo2 after structural relaxation, as listed in Alexandria via LeMat-Bulk.

Computed properties:
Formation energy from the elements ... 0.058 eV per atom
Size of the total moment ... 0.000 μB per formula unit
SG ... P4/mbm (127)
Crystal system ... tetragonal

Cell lengths 7.5413, 7.5413, 2.8855 Å; angles 90.00, 90.00, 90.00 degrees
Last column: nearest neighbours and their distance in Å.
Element x y z (fractional)
Hf 0.1506 0.3494 0.0000  6 Co 2.59-2.67, 2 Ta 2.87, 2 Hf 2.89
Hf 0.3494 0.8494 0.0000  6 Co 2.59-2.67, 2 Ta 2.87, 2 Hf 2.89
Hf 0.6506 0.1506 0.0000  6 Co 2.59-2.67, 2 Ta 2.87, 2 Hf 2.89
Hf 0.8494 0.6506 0.0000  6 Co 2.59-2.67, 2 Ta 2.87, 2 Hf 2.89
Ta 0.0000 0.0000 0.0000  4 Hf 2.87, 2 Ta 2.89
Ta 0.5000 0.5000 0.0000  4 Hf 2.87, 2 Ta 2.89
Co 0.1481 0.6481 0.5000  6 Hf 2.59-2.67, 2 Co 2.89
Co 0.3519 0.1481 0.5000  6 Hf 2.59-2.67, 2 Co 2.89
Co 0.6481 0.8519 0.5000  6 Hf 2.59-2.67, 2 Co 2.89
Co 0.8519 0.3519 0.5000  6 Hf 2.59-2.67, 2 Co 2.89

No. 7
First-principles (PBE-GGA) data for HfTaCo2 after structural relaxation, as listed in Alexandria via LeMat-Bulk.

Computed properties:
Formation energy from the elements ... -0.228 eV per atom
Size of the total moment ... 0.000 μB per formula unit
SG ... Fm-3m (225)
Crystal system ... cubic

Cell lengths 6.2007, 6.2007, 6.2007 Å; angles 90.00, 90.00, 90.00 degrees
Last column: nearest neighbours and their distance in Å.
Element x y z (fractional)
Hf 0.0000 0.0000 0.0000  8 Co 2.68
Hf 0.0000 0.5000 0.5000  8 Co 2.68
Hf 0.5000 0.0000 0.5000  8 Co 2.68
Hf 0.5000 0.5000 0.0000  8 Co 2.68
Ta 0.0000 0.0000 0.5000  8 Co 2.68
Ta 0.0000 0.5000 0.0000  8 Co 2.68
Ta 0.5000 0.0000 0.0000  8 Co 2.68
Ta 0.5000 0.5000 0.5000  8 Co 2.68
Co 0.2500 0.2500 0.2500  4 Hf 2.68, 4 Ta 2.68
Co 0.2500 0.2500 0.7500  4 Hf 2.68, 4 Ta 2.68
Co 0.2500 0.7500 0.2500  4 Hf 2.68, 4 Ta 2.68
Co 0.2500 0.7500 0.7500  4 Hf 2.68, 4 Ta 2.68
Co 0.7500 0.2500 0.2500  4 Hf 2.68, 4 Ta 2.68
Co 0.7500 0.2500 0.7500  4 Hf 2.68, 4 Ta 2.68
Co 0.7500 0.7500 0.2500  4 Hf 2.68, 4 Ta 2.68
Co 0.7500 0.7500 0.7500  4 Hf 2.68, 4 Ta 2.68

No. 8
First-principles (PBE-GGA) data for Hf2TaCo2 after structural relaxation, as listed in Alexandria via LeMat-Bulk.

Computed properties:
Formation energy from the elements ... -0.294 eV per atom
Size of the total moment ... 0.000 μB per formula unit
SG ... C2/m (12)
Crystal system ... monoclinic

Cell lengths 9.0214, 5.2957, 3.8724 Å; angles 90.00, 115.27, 90.00 degrees
Last column: nearest neighbours and their distance in Å.
Element x y z (fractional)
Hf 0.2017 0.0000 0.2015  6 Co 2.81-2.83, 4 Ta 3.11-3.12
Hf 0.2983 0.5000 0.7985  6 Co 2.81-2.83, 4 Ta 3.11-3.12
Hf 0.7017 0.5000 0.2015  6 Co 2.81-2.83, 4 Ta 3.11-3.12
Hf 0.7983 0.0000 0.7985  6 Co 2.81-2.83, 4 Ta 3.11-3.12
Ta 0.0000 0.5000 0.0000  4 Co 2.42
Ta 0.5000 0.0000 0.0000  4 Co 2.42
Co 0.0000 0.2268 0.5000  1 Co 2.40, 2 Ta 2.42
Co 0.0000 0.7732 0.5000  1 Co 2.40, 2 Ta 2.42
Co 0.5000 0.2732 0.5000  1 Co 2.40, 2 Ta 2.42
Co 0.5000 0.7268 0.5000  1 Co 2.40, 2 Ta 2.42